1.
Computed, not measured: a relaxed CaCrMo2 crystal at the PBE-GGA level of DFT.

## Properties
total magnetic moment: 0.00 μB/f.u.
calculated total energy: -7.555 eV per atom
polymorph energy (0 for the lowest one): 78 kJ/mol of formula units
DFT formation energy: 17.68 kcal/mol of atoms

Cell and atoms, written as CIF:
```
data_CaCrMo2
_chemical_formula_sum 'Ca2 Cr2 Mo4'
_space_group_name_H-M_alt 'I m m 2'
_space_group_IT_number 44
_cell_length_a 3.098
_cell_length_b 4.842
_cell_length_c 9.230
_cell_angle_alpha 90.00
_cell_angle_beta 90.00
_cell_angle_gamma 90.00
loop_
_space_group_symop_operation_xyz
'x,y,z'
'-x,-y,z'
'-x,y,z'
'x,-y,z'
'x+1/2,y+1/2,z+1/2'
'-x+1/2,-y+1/2,z+1/2'
'-x+1/2,y+1/2,z+1/2'
'x+1/2,-y+1/2,z+1/2'
loop_
_atom_site_label
_atom_site_fract_x
_atom_site_fract_y
_atom_site_fract_z
Ca1 0.000 0.000 0.000
Cr1 0.000 0.500 0.231
Mo1 0.000 0.000 0.537
Mo2 0.000 0.500 0.776
```



2.
Computed, not measured: a relaxed Al6Ni5Ru crystal at the PBE-GGA level of DFT.

## Properties
total magnetic moment: 0.00 μB/f.u.
calculated total energy: -5.713 eV per atom
DFT formation energy: -15.22 kcal/mol of atoms

Cell and atoms, written as CIF:
```
data_Al6Ni5Ru
_chemical_formula_sum 'Al12 Ni10 Ru2'
_space_group_name_H-M_alt 'C m m m'
_space_group_IT_number 65
_space_group_name_Hall '-C 2 2'
_cell_length_a 4.111
_cell_length_b 12.347
_cell_length_c 5.846
_cell_angle_alpha 90.00
_cell_angle_beta 90.00
_cell_angle_gamma 90.00
loop_
_atom_site_label
_atom_site_fract_x
_atom_site_fract_y
_atom_site_fract_z
Al1 0.000 0.000 0.244
Al2 0.000 0.332 0.248
Ni1 0.000 0.167 0.500
Ni2 0.000 0.169 0.000
Ni3 0.000 0.500 0.000
Ru1 0.000 0.500 0.500
```



3.
Computed, not measured: a relaxed TaV6Sn2 crystal at the PBE-GGA level of DFT.

## Properties
total magnetic moment: 0.00 μB/f.u.
calculated total energy: -8.166 eV per atom
polymorph energy (0 for the lowest one): 0 kJ/mol of formula units
DFT formation energy: 2.76 kcal/mol of atoms

Cell and atoms, written as CIF:
```
data_TaV6Sn2
_chemical_formula_sum 'Ta1 V6 Sn2'
_space_group_name_H-M_alt 'P -1'
_space_group_IT_number 2
_cell_length_a 2.838
_cell_length_b 7.500
_cell_length_c 7.916
_cell_angle_alpha 117.66
_cell_angle_beta 98.99
_cell_angle_gamma 92.70
loop_
_space_group_symop_operation_xyz
'x,y,z'
'-x,-y,-z'
loop_
_atom_site_label
_atom_site_fract_x
_atom_site_fract_y
_atom_site_fract_z
Ta1 0.000 0.000 0.000
V1 0.247 0.004 0.683
V2 0.356 0.676 0.000
V3 0.439 0.679 0.684
Sn1 0.159 0.661 0.323
```



4.
Computed, not measured: a relaxed LiLaYTl crystal at the PBE-GGA level of DFT.

## Properties
total magnetic moment: 0.00 μB/f.u.
calculated total energy: -4.135 eV per atom
DFT formation energy: -5.00 kcal/mol of atoms

Cell and atoms, written as CIF:
```
data_LiLaYTl
_chemical_formula_sum 'Li4 La4 Y4 Tl4'
_space_group_name_H-M_alt 'F -4 3 m'
_space_group_IT_number 216
_space_group_name_Hall 'F -4 2 3'
_cell_length_a 7.696
_cell_length_b 7.696
_cell_length_c 7.696
_cell_angle_alpha 90.00
_cell_angle_beta 90.00
_cell_angle_gamma 90.00
loop_
_atom_site_label
_atom_site_fract_x
_atom_site_fract_y
_atom_site_fract_z
Li1 0.000 0.000 0.000
La1 0.250 0.250 0.250
Y1 0.250 0.250 0.750
Tl1 0.000 0.000 0.500
```



5.
Computed, not measured: a relaxed CsNaZrTe3 crystal at the PBE-GGA level of DFT.

## Properties
total magnetic moment: 0.00 μB/f.u.
E_form (uncorrected): -966 meV per atom
calculated total energy: -4.324 eV per atom

Cell and atoms, written as CIF:
```
data_CsNaZrTe3
_chemical_formula_sum 'Cs4 Na4 Zr4 Te12'
_space_group_name_H-M_alt 'C m c m'
_space_group_IT_number 63
_space_group_name_Hall '-C 2c 2'
_cell_length_a 8.314
_cell_length_b 15.422
_cell_length_c 7.912
_cell_angle_alpha 90.00
_cell_angle_beta 90.00
_cell_angle_gamma 90.00
loop_
_atom_site_label
_atom_site_fract_x
_atom_site_fract_y
_atom_site_fract_z
Cs1 0.000 0.239 0.250
Na1 0.000 0.429 0.750
Zr1 0.000 0.055 0.750
Te1 0.000 0.230 0.750
Te2 0.233 0.000 0.000
```



6.
Computed, not measured: a relaxed TaHgCl2 crystal at the PBE-GGA level of DFT.

## Properties
total magnetic moment: 0.52 μB/f.u.
E_form (uncorrected): -466 meV per atom
calculated total energy: -4.428 eV per atom
polymorph energy (0 for the lowest one): 43 kJ/mol of formula units

Cell and atoms, written as CIF:
```
data_TaHgCl2
_chemical_formula_sum 'Ta2 Hg2 Cl4'
_space_group_name_H-M_alt 'I m m m'
_space_group_IT_number 71
_space_group_name_Hall '-I 2 2'
_cell_length_a 3.010
_cell_length_b 5.362
_cell_length_c 13.212
_cell_angle_alpha 90.00
_cell_angle_beta 90.00
_cell_angle_gamma 90.00
loop_
_atom_site_label
_atom_site_fract_x
_atom_site_fract_y
_atom_site_fract_z
Ta1 0.000 0.000 0.000
Hg1 0.000 0.000 0.500
Cl1 0.000 0.500 0.349
```



7.
Computed, not measured: a relaxed ScNbPt2 crystal at the PBE-GGA level of DFT.

## Properties
total magnetic moment: 0.00 μB/f.u.
calculated total energy: -7.966 eV per atom
DFT formation energy: -19.49 kcal/mol of atoms

Cell and atoms, written as CIF:
```
data_ScNbPt2
_chemical_formula_sum 'Sc1 Nb1 Pt2'
_space_group_name_H-M_alt 'P 4/m m m'
_space_group_IT_number 123
_space_group_name_Hall '-P 4 2'
_cell_length_a 2.922
_cell_length_b 2.922
_cell_length_c 7.966
_cell_angle_alpha 90.00
_cell_angle_beta 90.00
_cell_angle_gamma 90.00
loop_
_atom_site_label
_atom_site_fract_x
_atom_site_fract_y
_atom_site_fract_z
Sc1 0.000 0.000 0.000
Nb1 0.000 0.000 0.500
Pt1 0.500 0.500 0.252
```



8.
Computed, not measured: a relaxed Hf2RuPt2 crystal at the PBE-GGA level of DFT.

## Properties
total magnetic moment: 0.00 μB/f.u.
calculated total energy: -8.965 eV per atom
DFT formation energy: -16.42 kcal/mol of atoms

Cell and atoms, written as CIF:
```
data_Hf2RuPt2
_chemical_formula_sum 'Hf4 Ru2 Pt4'
_space_group_name_H-M_alt 'P 4/m b m'
_space_group_IT_number 127
_space_group_name_Hall '-P 4 2ab'
_cell_length_a 7.312
_cell_length_b 7.312
_cell_length_c 3.381
_cell_angle_alpha 90.00
_cell_angle_beta 90.00
_cell_angle_gamma 90.00
loop_
_atom_site_label
_atom_site_fract_x
_atom_site_fract_y
_atom_site_fract_z
Hf1 0.174 0.326 0.000
Ru1 0.000 0.000 0.500
Pt1 0.130 0.630 0.500
```



9.
Computed, not measured: a relaxed K4Y3ErSe8 crystal at the PBE-GGA level of DFT.

## Properties
total magnetic moment: 0.00 μB/f.u.
E_form (uncorrected): -1769 meV per atom
calculated total energy: -5.283 eV per atom

Cell and atoms, written as CIF:
```
data_K4Y3ErSe8
_chemical_formula_sum 'K12 Y9 Er3 Se24'
_space_group_name_H-M_alt 'R -3 m'
_space_group_IT_number 166
_space_group_name_Hall '-R 3 2"'
_cell_length_a 8.4158
_cell_length_b 8.4158
_cell_length_c 23.0449
_cell_angle_alpha 90.00
_cell_angle_beta 90.00
_cell_angle_gamma 120.00
loop_
_atom_site_label
_atom_site_fract_x
_atom_site_fract_y
_atom_site_fract_z
K1 0.0000 0.0000 0.0000
K2 0.0000 0.5000 0.0000
Y1 0.0000 0.5000 0.5000
Er1 0.0000 0.0000 0.5000
Se1 0.0000 0.0000 0.2352
Se2 0.0022 0.5011 0.2349
```



10.
Computed, not measured: a relaxed YCr2Pb crystal at the PBE-GGA level of DFT.

## Properties
total magnetic moment: 0.88 μB/f.u.
calculated total energy: -7.066 eV per atom
DFT formation energy: 6.65 kcal/mol of atoms

Cell and atoms, written as CIF:
```
data_YCr2Pb
_chemical_formula_sum 'Y4 Cr8 Pb4'
_space_group_name_H-M_alt 'F -4 3 m'
_space_group_IT_number 216
_space_group_name_Hall 'F -4 2 3'
_cell_length_a 7.039
_cell_length_b 7.039
_cell_length_c 7.039
_cell_angle_alpha 90.00
_cell_angle_beta 90.00
_cell_angle_gamma 90.00
loop_
_atom_site_label
_atom_site_fract_x
_atom_site_fract_y
_atom_site_fract_z
Y1 0.000 0.000 0.000
Cr1 0.000 0.000 0.500
Cr2 0.250 0.250 0.750
Pb1 0.250 0.250 0.250
```



11.
Computed, not measured: a relaxed GaNiIrC crystal at the PBE-GGA level of DFT.

## Properties
total magnetic moment: 0.00 μB/f.u.
calculated total energy: -6.354 eV per atom
polymorph energy (0 for the lowest one): 95 kJ/mol of formula units
DFT formation energy: 8.51 kcal/mol of atoms

Cell and atoms, written as CIF:
```
data_GaNiIrC
_chemical_formula_sum 'Ga2 Ni2 Ir2 C2'
_space_group_name_H-M_alt 'C 1 m 1'
_space_group_IT_number 8
_cell_length_a 8.913
_cell_length_b 3.469
_cell_length_c 3.529
_cell_angle_alpha 90.00
_cell_angle_beta 101.05
_cell_angle_gamma 90.00
loop_
_space_group_symop_operation_xyz
'x,y,z'
'x,-y,z'
'x+1/2,y+1/2,z'
'x+1/2,-y+1/2,z'
loop_
_atom_site_label
_atom_site_fract_x
_atom_site_fract_y
_atom_site_fract_z
Ga1 0.000 0.000 0.000
Ni1 0.471 0.000 0.493
Ir1 0.255 0.500 0.341
C1 0.160 0.500 0.801
```